(1)
{
  "formula": "LaOsCl2",
  "functional": "PBE",
  "state": "optimized geometry",
  "crystal_system": "tetragonal",
  "formation_energy_uncorrected_mev_per_atom": -280,
  "total_magnetization_mub_per_fu": 1.0,
  "space_group": "No. 122",
  "volume_a3_per_fu": 90.77,
  "n_ef_per_ev_cell": 4.1,
  "lattice": [[4.548, 0.000, 0.000], [0.000, 4.548, 0.000], [0.000, 0.000, 17.554]],
  "species": ["La", "La", "La", "La", "Os", "Os", "Os", "Os", "Cl", "Cl", "Cl", "Cl", "Cl", "Cl", "Cl", "Cl"],
  "fractional_positions": [[0.000, 0.000, 0.000], [0.000, 0.500, 0.250], [0.500, 0.000, 0.750], [0.500, 0.500, 0.500], [0.000, 0.000, 0.500], [0.000, 0.500, 0.750], [0.500, 0.000, 0.250], [0.500, 0.500, 0.000], [0.204, 0.250, 0.625], [0.250, 0.704, 0.875], [0.250, 0.796, 0.375], [0.296, 0.250, 0.125], [0.704, 0.750, 0.125], [0.750, 0.204, 0.375], [0.750, 0.296, 0.875], [0.796, 0.750, 0.625]]
}

(2)
{
  "formula": "LaOs2Cl",
  "functional": "PBE",
  "state": "optimized geometry",
  "crystal_system": "trigonal",
  "formation_energy_uncorrected_mev_per_atom": 1061,
  "total_magnetization_mub_per_fu": 0.0,
  "space_group": "No. 166",
  "volume_a3_per_fu": 71.56,
  "n_ef_per_ev_cell": 16.0,
  "lattice": [[2.942, 0.000, 0.000], [-1.471, 2.548, 0.000], [0.000, 0.000, 28.645]],
  "species": ["La", "La", "La", "Os", "Os", "Os", "Os", "Os", "Os", "Cl", "Cl", "Cl"],
  "fractional_positions": [[0.000, 0.000, 0.000], [0.333, 0.667, 0.667], [0.667, 0.333, 0.333], [0.000, 0.000, 0.239], [0.000, 0.000, 0.761], [0.333, 0.667, 0.427], [0.333, 0.667, 0.906], [0.667, 0.333, 0.094], [0.667, 0.333, 0.573], [0.000, 0.000, 0.500], [0.333, 0.667, 0.167], [0.667, 0.333, 0.833]]
}

no.,electronic total energy (eV/cell)
1,-83.89
2,-74.97